Record 1
The following is a GGA-PBE calculation of NdScGa5Pd2 after structural relaxation, from Alexandria via LeMat-Bulk.

- Total magnetization: 0.00 μB per formula unit
- Electronic total energy: -40.25 eV/cell

Unit cell a=4.864 b=4.864 c=7.631 alpha=90.00 beta=90.00 gamma=90.00
Positions (direct):
Nd 0.000 0.000 0.000
Sc 0.000 0.000 0.500
Ga 0.000 0.500 0.278
Ga 0.000 0.500 0.722
Ga 0.500 0.000 0.278
Ga 0.500 0.000 0.722
Ga 0.500 0.500 0.000
Pd 0.500 0.500 0.326
Pd 0.500 0.500 0.674

Record 2
The following is a GGA-PBE calculation of Nd3GaSi2Pd9 after structural relaxation, from Alexandria via LeMat-Bulk.

- Total magnetization: 0.00 μB per formula unit
- Uncorrected formation energy: -0.65 eV per atom
- Electronic total energy: -84.61 eV/cell

Unit cell a=6.350 b=6.350 c=8.874 alpha=90.00 beta=90.00 gamma=120.00
Positions (direct):
Nd 0.000 0.000 0.000
Nd 0.333 0.667 0.680
Nd 0.667 0.333 0.320
Ga 0.000 0.000 0.500
Si 0.333 0.667 0.175
Si 0.667 0.333 0.825
Pd 0.000 0.500 0.000
Pd 0.147 0.293 0.286
Pd 0.147 0.853 0.286
Pd 0.293 0.147 0.714
Pd 0.500 0.000 0.000
Pd 0.500 0.500 0.000
Pd 0.707 0.853 0.286
Pd 0.853 0.147 0.714
Pd 0.853 0.707 0.714

Record 3
The following is a GGA-PBE calculation of Nd2Ga3SiPd4 after structural relaxation, from Alexandria via LeMat-Bulk.

- Total magnetization: 0.00 μB per formula unit
- Uncorrected formation energy: -0.81 eV per atom
- Electronic total energy: -52.96 eV/cell

Unit cell a=4.346 b=4.346 c=10.118 alpha=90.00 beta=90.00 gamma=90.00
Positions (direct):
Nd 0.000 0.500 0.243
Nd 0.500 0.000 0.757
Ga 0.000 0.000 0.000
Ga 0.000 0.500 0.630
Ga 0.500 0.000 0.370
Si 0.500 0.500 0.000
Pd 0.000 0.000 0.500
Pd 0.000 0.500 0.878
Pd 0.500 0.000 0.122
Pd 0.500 0.500 0.500

Record 4
The following is a GGA-PBE calculation of Nd2Ga4SiPd3 after structural relaxation, from Alexandria via LeMat-Bulk.

- Total magnetization: 0.00 μB per formula unit
- Uncorrected formation energy: -0.72 eV per atom
- Electronic total energy: -49.82 eV/cell

Unit cell a=4.252 b=4.252 c=10.666 alpha=90.00 beta=90.00 gamma=90.00
Positions (direct):
Nd 0.000 0.500 0.249
Nd 0.500 0.000 0.751
Ga 0.000 0.000 0.000
Ga 0.000 0.500 0.637
Ga 0.500 0.000 0.363
Ga 0.500 0.500 0.000
Si 0.000 0.000 0.500
Pd 0.000 0.500 0.868
Pd 0.500 0.000 0.132
Pd 0.500 0.500 0.500

Record 5
The following is a GGA-PBE calculation of Nd2GaSi3Pd4 after structural relaxation, from Alexandria via LeMat-Bulk.

- Total magnetization: 0.00 μB per formula unit
- Uncorrected formation energy: -0.89 eV per atom
- Electronic total energy: -58.53 eV/cell

Unit cell a=4.275 b=4.275 c=10.037 alpha=90.00 beta=90.00 gamma=90.00
Positions (direct):
Nd 0.000 0.500 0.248
Nd 0.500 0.000 0.752
Ga 0.500 0.500 0.000
Si 0.000 0.000 0.000
Si 0.000 0.500 0.627
Si 0.500 0.000 0.373
Pd 0.000 0.000 0.500
Pd 0.000 0.500 0.868
Pd 0.500 0.000 0.132
Pd 0.500 0.500 0.500

Record 6
The following is a GGA-PBE calculation of NdSmGaPd after structural relaxation, from Alexandria via LeMat-Bulk.

- Total magnetization: 0.00 μB per formula unit
- Electronic total energy: -20.16 eV/cell

Unit cell a=5.166 b=5.166 c=5.166 alpha=60.00 beta=60.00 gamma=60.00
Positions (direct):
Nd 0.000 0.000 0.000
Sm 0.500 0.500 0.500
Ga 0.750 0.750 0.750
Pd 0.250 0.250 0.250

Record 7
The following is a GGA-PBE calculation of NdSmGaPd after structural relaxation, from Alexandria via LeMat-Bulk.

- Total magnetization: 0.00 μB per formula unit
- Electronic total energy: -20.40 eV/cell

Unit cell a=4.491 b=5.974 c=5.974 alpha=38.58 beta=90.00 gamma=90.00
Positions (direct):
Nd 0.000 0.000 0.000
Sm 0.500 0.716 0.716
Ga 0.500 0.430 0.430
Pd 0.000 0.283 0.283

Record 8
The following is a GGA-PBE calculation of NdGa2SnPd5 after structural relaxation, from Alexandria via LeMat-Bulk.

- Total magnetization: 0.00 μB per formula unit
- Electronic total energy: -45.65 eV/cell

Unit cell a=4.266 b=4.266 c=9.245 alpha=90.00 beta=90.00 gamma=90.00
Positions (direct):
Nd 0.000 0.000 0.000
Ga 0.500 0.500 0.366
Ga 0.500 0.500 0.634
Sn 0.000 0.000 0.500
Pd 0.000 0.500 0.226
Pd 0.000 0.500 0.774
Pd 0.500 0.000 0.226
Pd 0.500 0.000 0.774
Pd 0.500 0.500 0.000

Q: The lowest electronic total energy belongs to which entry?
A: Nd3GaSi2Pd9

Q: Which of these has the highest electronic total energy?
A: number 6

Q: The highest electronic total energy belongs to which entry?
A: number 6

Q: Which value of electronic total energy does entry 4 give?
A: -49.82 eV/cell